1.
Material: ZrTaNiRh
Method: DFT, GGA-PBE
State: relaxed

Results
The calculation puts the magnetic moment at 0.00 μB/f.u. Its formation energy is -1.3 eV per formula unit. For the volume, the calculation gives 16.5 Å³/atom. The symmetry is No. 216.

Lattice parameters (Å, degrees): 4.5318 4.5318 4.5318 60.00 60.00 60.00
With the nearest neighbours (Å) after each atom.
Fractional coordinates of all 4 atoms:
Ni: 0.2500 0.2500 0.2500  4 Ta 2.78, 4 Zr 2.78
Rh: 0.7500 0.7500 0.7500  4 Zr 2.78, 4 Ta 2.78
Zr: 0.0000 0.0000 0.0000  4 Rh 2.78, 4 Ni 2.78
Ta: 0.5000 0.5000 0.5000  4 Ni 2.78, 4 Rh 2.78

***

2.
Material: Sm3Mg2Tl3
Method: DFT, GGA-PBE
State: relaxed

Results
The calculation puts the magnetic moment at 0.87 μB/f.u. Its formation energy is -1.9 eV per formula unit. For the volume, the calculation gives 27.1 Å³/atom. The symmetry is No. 71.

Lattice parameters (Å, degrees): 4.5416 4.9286 10.2606 103.90 102.79 90.00
With the nearest neighbours (Å) after each atom.
Fractional coordinates of all 8 atoms:
Sm: 0.6278 0.6278 0.2557  4 Mg 3.33-3.37, 6 Tl 3.36, 2 Sm 3.50
Sm: 0.3722 0.3722 0.7443  4 Mg 3.33-3.37, 6 Tl 3.36, 2 Sm 3.50
Sm: 0.5000 0.0000 0.0000  8 Tl 3.35-3.55, 4 Sm 3.50
Mg: 0.7465 0.2465 0.4931  4 Tl 3.06-3.29, 4 Sm 3.33-3.37, 4 Mg 3.35
Mg: 0.2535 0.7535 0.5069  4 Tl 3.06-3.29, 4 Sm 3.33-3.37, 4 Mg 3.35
Tl: 0.1409 0.1409 0.2819  4 Mg 3.06-3.29, 4 Sm 3.36
Tl: 0.0000 0.5000 0.0000  8 Sm 3.35-3.36, 4 Tl 3.68
Tl: 0.8591 0.8591 0.7181  4 Mg 3.06-3.29, 4 Sm 3.36

***

Look up the magnetic moment of the first one.
0.00 μB/f.u.

***

Which value of magnetic moment does entry 1 give?
0.00 μB/f.u.

***

Among the records above, which one has the lowest magnetic moment?
ZrTaNiRh

***

What did the first record say?
Material: ZrTaNiRh
Method: DFT, GGA-PBE
State: relaxed

Results
The calculation puts the magnetic moment at 0.00 μB/f.u. Its formation energy is -1.3 eV per formula unit. For the volume, the calculation gives 16.5 Å³/atom. The symmetry is No. 216.

Lattice parameters (Å, degrees): 4.5318 4.5318 4.5318 60.00 60.00 60.00
With the nearest neighbours (Å) after each atom.
Fractional coordinates of all 4 atoms:
Ni: 0.2500 0.2500 0.2500  4 Ta 2.78, 4 Zr 2.78
Rh: 0.7500 0.7500 0.7500  4 Zr 2.78, 4 Ta 2.78
Zr: 0.0000 0.0000 0.0000  4 Rh 2.78, 4 Ni 2.78
Ta: 0.5000 0.5000 0.5000  4 Ni 2.78, 4 Rh 2.78